Entry 1:
DFT (GGA-PBEsol) results for an optimized crystal structure of Li2MgNi.

Geometry as POSCAR:
```
Li2MgNi
1.0
-2.7201 0.4822 -0.0061
-0.4168 -2.3896 -3.0403
-0.7421 -4.1435 3.3583
Ni Li Mg
1 2 1
direct
0.5000 0.5000 0.5000 Ni
0.0000 0.0000 0.7131 Li
0.0000 0.0000 0.2869 Li
0.5000 0.5000 0.0000 Mg
```

Properties
Size of the total moment, μB per formula unit: 0.000
V, Å³/f.u.: 58
Space group: Pmmm (47)
Formation enthalpy at 0 K, meV per atom: 98
D(E_F), states/eV per atom: 0.3835
Total DFT energy (no corrections), eV/atom: -2.8539

***

Entry 2:
DFT (GGA-PBEsol) results for an optimized crystal structure of Ta2AlC.

Geometry as POSCAR:
```
Ta2AlC
1.0
-2.4804 -1.7717 -0.1862
2.4140 -0.9189 1.6292
-5.9287 6.9643 12.7127
Ta C Al
4 2 2
direct
0.6667 0.3333 0.5792 Ta
0.3333 0.6667 0.4208 Ta
0.3333 0.6667 0.0792 Ta
0.6667 0.3333 0.9208 Ta
0.0000 0.0000 0.0000 C
0.0000 0.0000 0.5000 C
0.6667 0.3333 0.7500 Al
0.3333 0.6667 0.2500 Al
```

Properties
Size of the total moment, μB per formula unit: 0.000
V, Å³/f.u.: 63
Space group: P6_3/mmc (194)
Formation enthalpy at 0 K, meV per atom: -53
D(E_F), states/eV per atom: 0.6080
Total DFT energy (no corrections), eV/atom: -9.7627

***

Entry 3:
DFT (GGA-PBEsol) results for an optimized crystal structure of InTc.

Geometry as POSCAR:
```
InTc
1.0
-1.2100 1.6201 -2.1804
-2.3192 0.6267 1.7526
5.7133 5.6151 3.0296
Tc In
2 2
direct
0.2923 0.2923 0.5845 Tc
0.7077 0.7077 0.4155 Tc
0.0864 0.0864 0.1728 In
0.9136 0.9136 0.8272 In
```

Properties
Size of the total moment, μB per formula unit: 0.000
V, Å³/f.u.: 37
Space group: I4/mmm (139)
Formation enthalpy at 0 K, meV per atom: -13
D(E_F), states/eV per atom: 0.4942
Total DFT energy (no corrections), eV/atom: -7.1375

***

Entry 4:
DFT (GGA-PBEsol) results for an optimized crystal structure of Al45V7.

Geometry as POSCAR:
```
Al45V7
1.0
-0.8152 -2.4670 7.0963
-6.2261 -8.3241 -3.6092
10.2096 -2.0903 -3.5776
Al V
45 7
direct
0.6250 0.6381 0.2501 Al
0.2226 0.2057 0.0723 Al
0.7072 0.4894 0.4143 Al
0.6154 0.2288 0.2307 Al
0.3846 0.7712 0.7693 Al
0.5000 0.5000 0.0000 Al
0.2488 0.0099 0.8628 Al
0.5200 0.1332 0.4113 Al
0.3752 0.6216 0.3798 Al
0.9954 0.3784 0.6202 Al
0.7512 0.9901 0.1372 Al
0.1503 0.7943 0.9277 Al
0.8913 0.1332 0.4113 Al
0.6348 0.6484 0.6395 Al
0.3860 0.9901 0.1372 Al
0.8508 0.6228 0.0902 Al
0.9177 0.5585 0.8353 Al
0.9954 0.3516 0.3605 Al
0.8713 0.8867 0.7426 Al
0.1423 0.1437 0.6703 Al
0.0046 0.6484 0.6395 Al
0.6248 0.3784 0.6202 Al
0.5280 0.1437 0.6703 Al
0.7606 0.3772 0.9098 Al
0.0046 0.6216 0.3798 Al
0.0900 0.8461 0.1799 Al
0.4720 0.8563 0.3297 Al
0.3750 0.3619 0.7499 Al
0.1287 0.1133 0.2574 Al
0.2394 0.6228 0.0902 Al
0.6140 0.0099 0.8628 Al
0.4800 0.8668 0.5887 Al
0.7756 0.0071 0.5511 Al
0.8577 0.8563 0.3297 Al
0.2244 0.9929 0.4489 Al
0.1492 0.3772 0.9098 Al
0.2928 0.5106 0.5857 Al
0.3652 0.3516 0.3605 Al
0.8497 0.2057 0.0723 Al
0.4794 0.2437 0.9587 Al
0.9100 0.1539 0.8201 Al
0.7774 0.7943 0.9277 Al
0.0823 0.4415 0.1647 Al
0.5206 0.7563 0.0413 Al
0.1087 0.8668 0.5887 Al
0.7490 0.7603 0.4980 V
0.2510 0.2397 0.5020 V
0.4160 0.4193 0.1715 V
0.5840 0.5807 0.8285 V
0.2445 0.5807 0.8285 V
0.0000 0.0000 0.0000 V
0.7555 0.4193 0.1715 V
```

Properties
Size of the total moment, μB per formula unit: 0.000
V, Å³/f.u.: 823
Space group: C2/m (12)
Formation enthalpy at 0 K, meV per atom: -150
D(E_F), states/eV per atom: 0.4318
Total DFT energy (no corrections), eV/atom: -4.9872

***

Please write out number 1 again, unchanged.
DFT (GGA-PBEsol) results for an optimized crystal structure of Li2MgNi.

Geometry as POSCAR:
```
Li2MgNi
1.0
-2.7201 0.4822 -0.0061
-0.4168 -2.3896 -3.0403
-0.7421 -4.1435 3.3583
Ni Li Mg
1 2 1
direct
0.5000 0.5000 0.5000 Ni
0.0000 0.0000 0.7131 Li
0.0000 0.0000 0.2869 Li
0.5000 0.5000 0.0000 Mg
```

Properties
Size of the total moment, μB per formula unit: 0.000
V, Å³/f.u.: 58
Space group: Pmmm (47)
Formation enthalpy at 0 K, meV per atom: 98
D(E_F), states/eV per atom: 0.3835
Total DFT energy (no corrections), eV/atom: -2.8539